Below is a relaxed Sm4Ag crystal, with properties calculated at the GGA-PBE level.

- offset from the most stable computed form (eV per atom) = 0.305
- energy of formation from the pure elements (meV per atom) = 267

```
Sm4Ag
1.0
5.6767 0.0000 0.0000
0.0000 5.6767 0.0000
0.0000 0.0000 5.6767
Sm Ag
4 1
direct
0.0000 0.0000 0.0000 Sm
0.0000 0.5000 0.5000 Sm
0.5000 0.0000 0.5000 Sm
0.5000 0.5000 0.0000 Sm
0.5000 0.5000 0.5000 Ag
```

Below is a relaxed Sm3Ag5 crystal, with properties calculated at the GGA-PBE level.

- energy of formation from the pure elements (meV per atom) = -220

```
Sm3Ag5
1.0
0.0000 8.9160 7.1241
3.0657 0.0000 7.1241
3.0657 8.9160 0.0000
Sm Ag
6 10
direct
0.0000 0.0000 0.0000 Sm
0.2500 0.2500 0.2500 Sm
0.2633 0.7236 0.3984 Sm
0.6352 0.8516 0.5264 Sm
0.7236 0.2633 0.6148 Sm
0.8516 0.6352 0.9867 Sm
0.0443 0.2858 0.1247 Ag
0.1253 0.7047 0.2057 Ag
0.2633 0.4503 0.8537 Ag
0.2858 0.0443 0.5453 Ag
0.3963 0.8173 0.9867 Ag
0.4503 0.2633 0.4327 Ag
0.5522 0.5522 0.4478 Ag
0.7047 0.1253 0.9642 Ag
0.8022 0.8022 0.6978 Ag
0.8173 0.3963 0.7997 Ag
```

Below is a relaxed SmAg crystal, with properties calculated at the GGA-PBE level.

- energy of formation from the pure elements (meV per atom) = -281

```
SmAg
1.0
3.7116 0.0000 0.0000
0.0000 3.7116 0.0000
0.0000 0.0000 3.7116
Sm Ag
1 1
direct
0.0000 0.0000 0.0000 Sm
0.5000 0.5000 0.5000 Ag
```